Entry 1:
An optimized crystal structure of ScRuCl2. Source: the Alexandria database, functional PBEsol.

Summary:
- ΔE_f (raw): -0.38 eV per atom
- Excess energy over the best structure of this formula in the dataset: 0.340 eV/atom
- Space group: No. 47

Cell: 3.050 4.040 5.303 Å, 90.00 90.00 90.00°
Atoms (fractional coordinates):
1 Sc 0.000 0.000 0.000
2 Ru 0.500 0.000 0.500
3 Cl 0.000 0.500 0.500
4 Cl 0.500 0.500 0.000

***

Entry 2:
An optimized crystal structure of ScRuCl2. Source: the Alexandria database, functional PBEsol.

Summary:
- ΔE_f (raw): -0.27 eV per atom
- Excess energy over the best structure of this formula in the dataset: 0.455 eV/atom
- Space group: No. 166

Cell: 3.103 3.103 26.872 Å, 90.00 90.00 120.00°
Atoms (fractional coordinates):
1 Sc 0.000 0.000 0.000
2 Sc 0.333 0.667 0.667
3 Sc 0.667 0.333 0.333
4 Ru 0.000 0.000 0.500
5 Ru 0.333 0.667 0.167
6 Ru 0.667 0.333 0.833
7 Cl 0.000 0.000 0.269
8 Cl 0.000 0.000 0.731
9 Cl 0.333 0.667 0.398
10 Cl 0.333 0.667 0.935
11 Cl 0.667 0.333 0.065
12 Cl 0.667 0.333 0.602

***

Entry 3:
An optimized crystal structure of ScRuCl3. Source: the Alexandria database, functional PBEsol.

Summary:
- ΔE_f (raw): -0.22 eV per atom
- Space group: No. 221

Cell: 4.873 4.873 4.873 Å, 90.00 90.00 90.00°
Atoms (fractional coordinates):
1 Sc 0.000 0.000 0.000
2 Ru 0.500 0.500 0.500
3 Cl 0.000 0.000 0.500
4 Cl 0.000 0.500 0.000
5 Cl 0.500 0.000 0.000

***

Entry 4:
An optimized crystal structure of Ru2SeCl. Source: the Alexandria database, functional PBEsol.

Summary:
- ΔE_f (raw): 0.60 eV per atom
- Excess energy over the best structure of this formula in the dataset: 0.334 eV/atom
- Space group: No. 65

Cell: 2.934 5.398 7.907 Å, 90.00 90.00 90.00°
Atoms (fractional coordinates):
1 Ru 0.000 0.000 0.237
2 Ru 0.000 0.000 0.763
3 Ru 0.500 0.500 0.237
4 Ru 0.500 0.500 0.763
5 Se 0.000 0.500 0.000
6 Se 0.500 0.000 0.000
7 Cl 0.000 0.500 0.500
8 Cl 0.500 0.000 0.500

***

Entry 5:
An optimized crystal structure of RuSeCl2. Source: the Alexandria database, functional PBEsol.

Summary:
- ΔE_f (raw): 0.15 eV per atom
- Excess energy over the best structure of this formula in the dataset: 0.144 eV/atom
- Space group: No. 99

Cell: 3.334 3.334 6.911 Å, 90.00 90.00 90.00°
Atoms (fractional coordinates):
1 Ru 0.000 0.000 0.000
2 Se 0.500 0.500 0.135
3 Cl 0.000 0.000 0.357
4 Cl 0.500 0.500 0.746

***

Entry 6:
An optimized crystal structure of RuSeCl3. Source: the Alexandria database, functional PBEsol.

Summary:
- ΔE_f (raw): 0.26 eV per atom
- Space group: No. 221

Cell: 4.675 4.675 4.675 Å, 90.00 90.00 90.00°
Atoms (fractional coordinates):
1 Ru 0.000 0.000 0.000
2 Se 0.500 0.500 0.500
3 Cl 0.000 0.000 0.500
4 Cl 0.000 0.500 0.000
5 Cl 0.500 0.000 0.000

***

Entry 7:
An optimized crystal structure of RuSeCl2. Source: the Alexandria database, functional PBEsol.

Summary:
- ΔE_f (raw): 0.01 eV per atom
- Excess energy over the best structure of this formula in the dataset: 0.000 eV/atom
- Space group: No. 71

Cell: 2.939 4.557 12.425 Å, 90.00 90.00 90.00°
Atoms (fractional coordinates):
1 Ru 0.000 0.000 0.000
2 Ru 0.500 0.500 0.500
3 Se 0.000 0.000 0.500
4 Se 0.500 0.500 0.000
5 Cl 0.000 0.500 0.348
6 Cl 0.000 0.500 0.652
7 Cl 0.500 0.000 0.152
8 Cl 0.500 0.000 0.848

***

Entry 8:
An optimized crystal structure of RuSeCl. Source: the Alexandria database, functional PBEsol.

Summary:
- ΔE_f (raw): -0.25 eV per atom
- Space group: No. 156

Cell: 3.576 3.576 5.339 Å, 90.00 90.00 120.00°
Atoms (fractional coordinates):
1 Ru 0.000 0.000 0.000
2 Se 0.333 0.667 0.785
3 Cl 0.667 0.333 0.276

***

Entry 9:
An optimized crystal structure of Ru2SeCl. Source: the Alexandria database, functional PBEsol.

Summary:
- ΔE_f (raw): 0.27 eV per atom
- Excess energy over the best structure of this formula in the dataset: 0.000 eV/atom
- Space group: No. 25

Cell: 2.967 3.733 5.678 Å, 90.00 90.00 90.00°
Atoms (fractional coordinates):
1 Ru 0.000 0.000 0.000
2 Ru 0.500 0.500 0.245
3 Se 0.000 0.000 0.422
4 Cl 0.500 0.500 0.841

***

Entry 10:
An optimized crystal structure of RuSeCl4. Source: the Alexandria database, functional PBEsol.

Summary:
- ΔE_f (raw): 1.26 eV per atom
- Space group: No. 216

Cell: 5.491 5.491 5.491 Å, 60.00 60.00 60.00°
Atoms (fractional coordinates):
1 Ru 0.000 0.000 0.000
2 Se 0.250 0.250 0.250
3 Cl 0.123 0.626 0.626
4 Cl 0.626 0.123 0.626
5 Cl 0.626 0.626 0.123
6 Cl 0.626 0.626 0.626

***

Entry 11:
An optimized crystal structure of RuSeCl2. Source: the Alexandria database, functional PBEsol.

Summary:
- ΔE_f (raw): 0.93 eV per atom
- Excess energy over the best structure of this formula in the dataset: 0.929 eV/atom
- Space group: No. 123

Cell: 4.842 4.842 3.018 Å, 90.00 90.00 90.00°
Atoms (fractional coordinates):
1 Ru 0.000 0.000 0.000
2 Se 0.500 0.500 0.000
3 Cl 0.000 0.500 0.500
4 Cl 0.500 0.000 0.500

***

Entry 12:
An optimized crystal structure of RuSe2Cl. Source: the Alexandria database, functional PBEsol.

Summary:
- ΔE_f (raw): 0.06 eV per atom
- Excess energy over the best structure of this formula in the dataset: 0.008 eV/atom
- Space group: No. 160

Cell: 3.120 3.120 28.435 Å, 90.00 90.00 120.00°
Atoms (fractional coordinates):
1 Ru 0.000 0.000 0.000
2 Ru 0.333 0.667 0.667
3 Ru 0.667 0.333 0.333
4 Se 0.000 0.000 0.488
5 Se 0.000 0.000 0.722
6 Se 0.333 0.667 0.155
7 Se 0.333 0.667 0.389
8 Se 0.667 0.333 0.056
9 Se 0.667 0.333 0.821
10 Cl 0.000 0.000 0.271
11 Cl 0.333 0.667 0.938
12 Cl 0.667 0.333 0.604